The following is a PBE-GGA calculation of TlSiSe2 after structural relaxation, from the Alexandria database.

Calculated values
The magnetic moment comes out at 0.00 μB per cell. The calculation puts the density at 7.01 g/cm³. As for the raw formation energy: 0.17 eV per atom.

a = 3.4231 Å, b = 3.4225 Å, c = 7.8916 Å
α = 90.00°, β = 90.00°, γ = 90.00°
Sites, in units of the cell vectors:
Se  0.0000  0.0000  0.0519
Si  0.5000  0.5000  0.2500
Tl  0.5000  0.5000  0.7500
Se  0.0000  0.0000  0.4481

---

The following is a PBE-GGA calculation of PmDyErAg after structural relaxation, from the Alexandria database.

Calculated values
The magnetic moment comes out at 0.00 μB per cell. The energy above the most stable polymorph in this dataset is 236 meV per atom. The calculation puts the density at 8.71 g/cm³.

a = 5.3957 Å, b = 5.3957 Å, c = 5.3957 Å
α = 60.00°, β = 60.00°, γ = 60.00°
Sites, in units of the cell vectors:
Ag  0.2500  0.2500  0.2500
Pm  0.7500  0.7500  0.7500
Er  0.5000  0.5000  0.5000
Dy  0.0000  0.0000  0.0000

---

The following is a PBE-GGA calculation of Pm6Zn5Cu after structural relaxation, from the Alexandria database.

Calculated values
The magnetic moment comes out at 0.00 μB per cell. The total energy is -3.54 eV per atom. The calculation puts the density at 7.20 g/cm³.

a = 5.1452 Å, b = 7.3129 Å, c = 8.1474 Å
α = 90.00°, β = 108.45°, γ = 90.00°
Sites, in units of the cell vectors:
Pm  0.5000  0.7524  0.0000
Pm  0.1642  0.7501  0.3296
Pm  0.8358  0.2499  0.6704
Pm  0.1642  0.2499  0.3296
Pm  0.8358  0.7501  0.6704
Cu  0.0000  0.0000  0.0000
Zn  0.6699  0.0000  0.3419
Zn  0.0000  0.5000  0.0000
Zn  0.3301  0.0000  0.6581
Pm  0.5000  0.2476  0.0000
Zn  0.3322  0.5000  0.6631
Zn  0.6678  0.5000  0.3369

---

The following is a PBE-GGA calculation of PuCuGe2O8 after structural relaxation, from the Alexandria database.

Calculated values
The magnetic moment comes out at 1.03 μB per cell. The calculation puts the density at 6.53 g/cm³. As for the raw formation energy: -1.46 eV per atom.

a = 5.7685 Å, b = 5.7685 Å, c = 5.7685 Å
α = 108.51°, β = 108.51°, γ = 111.42°
Sites, in units of the cell vectors:
Pu  0.2500  0.7500  0.5000
O  0.9416  0.6339  0.6923
Cu  0.0000  0.0000  0.0000
O  0.4801  0.6768  0.8033
Ge  0.5000  0.5000  0.0000
Ge  0.7500  0.2500  0.5000
O  0.8734  0.6768  0.1967
O  0.3232  0.5199  0.1967
O  0.7507  0.0584  0.6923
O  0.3661  0.0584  0.3077
O  0.9416  0.2493  0.3077
O  0.3232  0.1266  0.8033

---

The following is a PBE-GGA calculation of RbTlSb after structural relaxation, from the Alexandria database.

Calculated values
The magnetic moment comes out at 0.00 μB per cell. The energy above the most stable polymorph in this dataset is 52 meV per atom. The calculation puts the density at 6.15 g/cm³. As for the raw formation energy: -0.24 eV per atom.

a = 8.3077 Å, b = 10.0113 Å, c = 10.0113 Å
α = 67.51°, β = 65.49°, γ = 65.49°
Sites, in units of the cell vectors:
Tl  0.7537  0.8746  0.8747
Tl  0.7537  0.3747  0.3746
Tl  0.0039  0.0000  0.0000
Sb  0.7529  0.7500  0.2500
Sb  0.7530  0.2500  0.7500
Rb  0.3192  0.2500  0.7500
Rb  0.7535  0.4666  0.9666
Tl  0.5030  0.1254  0.1253
Sb  0.0866  0.6669  0.6669
Sb  0.0866  0.1669  0.1669
Rb  0.7531  0.9668  0.4668
Rb  0.1868  0.5334  0.0334
Rb  0.3192  0.7500  0.2500
Rb  0.1868  0.0332  0.5332
Sb  0.4203  0.8331  0.8331
Tl  0.5030  0.6253  0.6254
Tl  0.0039  0.5000  0.5000
Sb  0.4203  0.3331  0.3331

---

The following is a PBE-GGA calculation of Ba6Hg3Pt after structural relaxation, from the Alexandria database.

Calculated values
The magnetic moment comes out at 0.00 μB per cell. The total energy is -2.32 eV per atom. The calculation puts the density at 5.92 g/cm³.

a = 8.2471 Å, b = 9.0995 Å, c = 12.1248 Å
α = 90.00°, β = 86.91°, γ = 90.00°
Sites, in units of the cell vectors:
Hg  0.9454  0.3834  0.7394
Ba  0.3137  0.8314  0.0646
Ba  0.3499  0.8063  0.4272
Ba  0.6534  0.4562  0.2601
Ba  0.6863  0.1686  0.9354
Ba  0.1534  0.0438  0.7601
Ba  0.3466  0.5438  0.7399
Pt  0.0000  0.0000  0.0000
Hg  0.5546  0.8834  0.7606
Ba  0.8466  0.9562  0.2399
Ba  0.8499  0.6937  0.9272
Hg  0.0000  0.0000  0.5000
Hg  0.0546  0.6166  0.2606
Hg  0.4454  0.1166  0.2394
Ba  0.8137  0.6686  0.5646
Ba  0.1863  0.3314  0.4354
Ba  0.1501  0.3063  0.0728
Pt  0.5000  0.5000  0.5000
Ba  0.6501  0.1937  0.5728
Hg  0.5000  0.5000  0.0000

---

The following is a PBE-GGA calculation of BaLi2In2Hg2 after structural relaxation, from the Alexandria database.

Calculated values
The magnetic moment comes out at 0.00 μB per cell. The total energy is -2.02 eV per atom. The calculation puts the density at 6.92 g/cm³.

a = 4.8371 Å, b = 4.8371 Å, c = 9.6687 Å
α = 75.51°, β = 75.51°, γ = 60.00°
Sites, in units of the cell vectors:
Hg  0.4453  0.4453  0.6641
In  0.2501  0.2501  0.2496
Ba  0.0000  0.0000  0.0000
Hg  0.5547  0.5547  0.3359
Li  0.1421  0.1421  0.5736
Li  0.8579  0.8579  0.4264
In  0.7499  0.7499  0.7504

---

The following is a PBE-GGA calculation of KCaCeBiO6 after structural relaxation, from the Alexandria database.

Calculated values
The magnetic moment comes out at 0.00 μB per cell. The calculation puts the density at 5.40 g/cm³. As for the raw formation energy: -2.08 eV per atom.

a = 6.1075 Å, b = 6.1075 Å, c = 6.1075 Å
α = 60.00°, β = 60.00°, γ = 60.00°
Sites, in units of the cell vectors:
Ce  0.5000  0.5000  0.5000
O  0.7548  0.2452  0.7548
O  0.7548  0.2452  0.2452
O  0.2452  0.7548  0.7548
O  0.7548  0.7548  0.2452
O  0.2452  0.7548  0.2452
Ca  0.2500  0.2500  0.2500
Bi  0.0000  0.0000  0.0000
K  0.7500  0.7500  0.7500
O  0.2452  0.2452  0.7548